Record 1
VASP calculation (GGA-PBE) on a geometry-optimized Pr3ThTl2 structure.

The energy relative to the elements comes out at -246 meV per atom. The calculation puts the density at 9.4 g/cm³.

The space group is P4/mmm (No. 123) and the conventional cell measures 3.7196, 3.7196 and 13.6201 Å, with angles of 90.00, 90.00 and 90.00 degrees. The distinct sites, in fractional coordinates, are Pr at (0.0000, 0.0000, 0.0000), Pr at (0.0000, 0.0000, 0.3217), Th at (0.5000, 0.5000, 0.5000) and Tl at (0.5000, 0.5000, 0.1617).

---

Record 2
VASP calculation (GGA-PBE) on a geometry-optimized Pr3ThTl4 structure.

The energy relative to the elements comes out at -326 meV per atom. The calculation puts the density at 10.2 g/cm³.

The space group is P4/mmm (No. 123) and the conventional cell measures 3.6404, 3.6404 and 18.0322 Å, with angles of 90.00, 90.00 and 90.00 degrees. The distinct sites, in fractional coordinates, are Pr at (0.0000, 0.0000, 0.0000), Pr at (0.0000, 0.0000, 0.2501), Th at (0.0000, 0.0000, 0.5000), Tl at (0.5000, 0.5000, 0.1250) and Tl at (0.5000, 0.5000, 0.3750).

---

Record 3
VASP calculation (GGA-PBE) on a geometry-optimized Pr5ThTl6 structure.

The energy relative to the elements comes out at -338 meV per atom. The calculation puts the density at 9.9 g/cm³.

The space group is Cmmm (No. 65) and the conventional cell measures 5.5704, 16.7295 and 7.7952 Å, with angles of 90.00, 90.00 and 90.00 degrees. The distinct sites, in fractional coordinates, are Pr at (0.0000, 0.0000, 0.0000), Pr at (0.0000, 0.3332, 0.0000), Pr at (0.0000, 0.3346, 0.5000), Th at (0.0000, 0.0000, 0.5000), Tl at (0.0000, 0.1674, 0.2498) and Tl at (0.0000, 0.5000, 0.2479).

---

Record 4
VASP calculation (GGA-PBE) on a geometry-optimized PrTh3Tl4 structure.

The energy relative to the elements comes out at -166 meV per atom. The calculation puts the density at 11.6 g/cm³.

The space group is Pmmm (No. 47) and the conventional cell measures 3.3595, 5.9502 and 11.8811 Å, with angles of 90.00, 90.00 and 90.00 degrees. The distinct sites, in fractional coordinates, are Pr at (0.0000, 0.0000, 0.0000), Th at (0.0000, 0.0000, 0.5000), Th at (0.0000, 0.5000, 0.2499), Tl at (0.5000, 0.0000, 0.2498), Tl at (0.5000, 0.5000, 0.0000) and Tl at (0.5000, 0.5000, 0.5000).

---

Record 5
VASP calculation (GGA-PBE) on a geometry-optimized PrThTl structure.

The energy relative to the elements comes out at -166 meV per atom. The calculation puts the density at 9.7 g/cm³.

The space group is I4/mmm (No. 139) and the conventional cell measures 4.7433, 4.7433 and 17.5272 Å, with angles of 90.00, 90.00 and 90.00 degrees. The distinct sites, in fractional coordinates, are Pr at (0.0000, 0.0000, 0.1781), Th at (0.0000, 0.5000, 0.0000) and Tl at (0.0000, 0.0000, 0.3624).

---

Record 6
VASP calculation (GGA-PBE) on a geometry-optimized Pr4ThTl2 structure.

The energy relative to the elements comes out at 61 meV per atom. The calculation puts the density at 7.9 g/cm³.

The space group is R-3m (No. 166, hexagonal axes) and the conventional cell measures 5.6374, 5.6374 and 27.5882 Å, with angles of 90.00, 90.00 and 120.00 degrees. The distinct sites, in fractional coordinates, are Pr at (0.0000, 0.0000, 0.1279), Pr at (0.0000, 0.0000, 0.2682), Th at (0.0000, 0.0000, 0.5000) and Tl at (0.0000, 0.0000, 0.3850).

---

Record 7
VASP calculation (GGA-PBE) on a geometry-optimized Pr2Th2Tl7 structure.

The energy relative to the elements comes out at 173 meV per atom. The calculation puts the density at 9.6 g/cm³.

The space group is Cmmm (No. 65) and the conventional cell measures 8.9203, 11.0927 and 7.6276 Å, with angles of 90.00, 90.00 and 90.00 degrees. The distinct sites, in fractional coordinates, are Pr at (0.1818, 0.0000, 0.0000), Th at (0.0000, 0.2981, 0.5000), Tl at (0.0000, 0.0000, 0.5000), Tl at (0.0000, 0.5000, 0.1989) and Tl at (0.2500, 0.2500, 0.2058).

---

Record 8
VASP calculation (GGA-PBE) on a geometry-optimized PrThTl structure.

The energy relative to the elements comes out at 50 meV per atom. The calculation puts the density at 9.7 g/cm³.

The space group is R-3m (No. 166, hexagonal axes) and the conventional cell measures 5.4449, 5.4449 and 23.1426 Å, with angles of 90.00, 90.00 and 120.00 degrees. The distinct sites, in fractional coordinates, are Pr at (0.0000, 0.0000, 0.1272), Th at (0.0000, 0.0000, 0.2935) and Tl at (0.0000, 0.0000, 0.4330).